A relaxed SmYZn2Si2 crystal, computed with GGA-PBE.

a = 4.1477 Å, b = 4.1477 Å, c = 16.2078 Å
α = 90.00°, β = 90.00°, γ = 120.00°
Closest atoms and distances in Å follow each position.
Space group P6_3/mmc (No. 194)
Asymmetric unit:
1 Sm 0.0000 0.0000 0.0000 [2 per cell]  6 Si 3.11, 6 Zn 3.24
2 Y 0.0000 0.0000 0.2500 [2 per cell]  6 Zn 3.04, 6 Si 3.16
3 Zn 0.3333 0.6667 0.1348 [4 per cell]  3 Si 2.40
4 Si 0.3333 0.6667 0.6225 [4 per cell]  3 Zn 2.40

Properties
raw total energy: -4.746 eV per atom